Entry from Alexandria: a relaxed structure of Fe2Pd12Pt5 (PBE-GGA).

- calculated volume (Å³/atom) = 16.18

Cell: 7.191 7.649 6.611 Å, 75.30 90.00 118.04°
Last column: magnetic moment on the atom in μB.
Fractional positions:
1 Fe 0.690 0.000 0.000  3.23
2 Fe 0.310 0.000 0.000  3.23
3 Pd 0.933 0.866 0.177  0.18
4 Pd 0.039 0.707 0.858  0.17
5 Pd 0.668 0.707 0.858  0.17
6 Pd 0.135 0.715 0.444  0.12
7 Pd 0.580 0.715 0.444  0.12
8 Pd 0.467 0.935 0.704  0.32
9 Pd 0.533 0.065 0.296  0.32
10 Pd 0.865 0.285 0.556  0.12
11 Pd 0.420 0.285 0.556  0.12
12 Pd 0.961 0.293 0.142  0.17
13 Pd 0.332 0.293 0.142  0.17
14 Pd 0.067 0.134 0.823  0.18
15 Pt 0.261 0.522 0.765  0.12
16 Pt 0.332 0.664 0.132  0.32
17 Pt 0.000 0.000 0.500  0.11
18 Pt 0.668 0.336 0.868  0.32
19 Pt 0.739 0.478 0.235  0.12

***

Entry from Alexandria: a relaxed structure of FePd3Pt (PBE-GGA).

- E above lowest polymorph (kcal/mol of atoms) = 6.61
- calculated volume (Å³/atom) = 17.21

Cell: 4.984 5.897 5.897 Å, 96.80 90.00 90.00°
Last column: magnetic moment on the atom in μB.
Fractional positions:
1 Fe 0.250 0.263 0.737  3.23
2 Fe 0.750 0.737 0.263  3.23
3 Pd 0.250 0.985 0.397  0.31
4 Pd 0.250 0.603 0.015  0.31
5 Pd 0.750 0.397 0.985  0.31
6 Pd 0.750 0.015 0.603  0.31
7 Pd 0.000 0.000 0.000  0.27
8 Pd 0.500 0.000 0.000  0.27
9 Pt 0.250 0.546 0.454  0.22
10 Pt 0.750 0.454 0.546  0.22

***

no.,electronic total energy (eV/atom),total magnetization (μB per cell)
1,-5.6137,9.7
2,-5.6770,8.7